(A)
Ce2SeCl PBE relaxed; size of the total moment = 3.0 Bohr magnetons per cell
1.0
-2.8156 -0.4297 -2.2474
1.2241 -3.2935 -0.9039
-3.8133 -2.8796 5.3281
Cl Se Ce
1 1 2
Cartesian
-2.7024 -3.3014 1.0884
-0.7957 -1.8616 -1.5756
-2.8906 -2.1828 4.0389
-0.9227 -0.6968 1.2893

(B)
Ce2SeCl PBE relaxed; size of the total moment = 3.3 Bohr magnetons per cell
1.0
4.1909 0.0000 0.0000
0.0000 5.8212 0.0000
0.0000 0.0000 8.0420
Ce Cl Se
4 2 2
Cartesian
2.0955 2.9106 4.9747
0.0000 0.0000 7.0042
2.0955 2.9106 1.0378
0.0000 0.0000 3.0674
0.0000 2.9106 3.0038
2.0955 0.0000 5.0382
2.0955 0.0000 1.0141
0.0000 2.9106 7.0280

(C)
Ce2SeCl PBE relaxed; size of the total moment = 2.7 Bohr magnetons per cell
1.0
3.9573 0.0000 0.0000
1.9787 3.4271 0.0000
1.9787 1.1424 7.5872
Se Ce Cl
1 2 1
Cartesian
5.9360 3.4271 7.5745
1.9787 1.1424 5.7942
1.9787 1.1424 1.7832
3.9573 2.2848 3.8161

Stability comparison, relative energies in meV per atom: (A) 263; (B) 0; (C) 81

(A)
CeSn2Cl8 PBE relaxed; size of the total moment = 0.0 Bohr magnetons per cell
1.0
8.1133 0.4812 0.4116
1.5088 7.6351 0.8593
1.5088 2.0324 7.4096
Cl Ce Sn
8 1 2
Cartesian
7.8886 2.8284 5.7710
7.8886 6.1396 1.8996
6.6943 2.1241 1.8168
3.2424 7.3203 2.9095
4.4367 8.0246 6.8637
3.2424 4.0091 6.7808
2.7351 3.3240 2.8431
8.3959 6.8247 5.8374
0.0000 0.0000 0.0000
7.6302 8.5502 7.3132
3.5008 1.5985 1.3672

(B)
CeSn2Cl8 PBE relaxed; size of the total moment = 0.0 Bohr magnetons per cell
1.0
-6.1180 -2.4980 -1.5362
4.8305 -4.7194 -3.2267
2.4789 -4.3588 5.5581
Cl Ce Sn
8 1 2
Cartesian
2.4700 -6.4183 3.8081
3.9063 -6.6382 -1.5628
-1.2787 -5.1580 -3.0130
-3.7190 -3.0859 -0.8688
-2.7149 -4.9381 2.3580
4.9103 -8.4903 1.6640
-0.4834 -7.1124 0.1617
1.6748 -4.4638 0.6335
0.0000 0.0000 0.0000
2.0247 -7.2267 0.8394
-0.8334 -4.3496 -0.0443

Stability comparison, relative energies in meV per atom: (A) 39; (B) 0

(A)
Ce2SnCl PBE relaxed; size of the total moment = 3.0 Bohr magnetons per cell
1.0
-3.5234 0.0451 0.4546
0.1083 -3.3523 1.1719
1.0144 2.6879 7.5953
Ce Sn Cl
2 1 1
Cartesian
0.2435 0.6452 1.8232
0.7709 2.0427 5.7721
-1.2003 -0.3096 4.6109
-1.7075 -1.6536 0.8132

(B)
Ce2SnCl PBE relaxed; size of the total moment = 2.0 Bohr magnetons per cell
1.0
-2.9409 2.6248 2.0539
-1.2469 -0.8974 4.1710
3.4890 4.2823 4.3328
Ce Sn Cl
2 1 1
Cartesian
-0.3981 4.6029 7.9765
-0.3008 1.4068 2.5812
-0.3494 3.0048 5.2788
0.0000 0.0000 0.0000

Stability comparison, relative energies in meV per atom: (A) 115; (B) 0

(A)
TbCeCl PBE relaxed; size of the total moment = 1.6 Bohr magnetons per cell
1.0
3.5902 0.0000 0.0000
-1.7951 3.1092 0.0000
0.0000 0.0000 7.3980
Cl Tb Ce
1 1 1
Cartesian
0.0000 2.0728 4.8138
1.7951 1.0364 2.7219
0.0000 0.0000 7.2603

(B)
TbCeCl PBE relaxed; size of the total moment = 0.7 Bohr magnetons per cell
1.0
3.4102 -0.7527 -0.2217
-2.2273 6.0448 0.4473
-1.2734 -0.0644 8.2238
Tb Ce Cl
2 2 2
Cartesian
0.3805 3.8019 6.7386
-0.4710 1.4258 1.7107
-1.4841 4.3443 3.8384
1.3936 0.8834 4.6109
0.0790 4.1136 1.0590
-0.1695 1.1141 7.3904

Stability comparison, relative energies in meV per atom: (A) 65; (B) 0

(A)
Ce2TcCl PBE relaxed; size of the total moment = 0.0 Bohr magnetons per cell
1.0
3.2271 0.0000 0.0000
1.6135 2.7947 0.0000
1.6135 0.9316 9.6070
Ce Tc Cl
2 1 1
Cartesian
1.6135 0.9316 7.1617
4.8406 2.7947 2.4453
0.0000 0.0000 0.0000
3.2271 1.8631 4.8035

(B)
Ce2TcCl PBE relaxed; size of the total moment = 1.3 Bohr magnetons per cell
1.0
-0.9133 0.5977 -3.1497
-3.1844 -0.5479 0.8193
-0.8924 7.7812 1.7353
Ce Tc Cl
2 1 1
Cartesian
-0.6953 6.0628 1.3521
-0.1971 1.7183 0.3832
-2.0488 0.0249 -1.1652
-2.4950 3.9155 -0.2975

Stability comparison, relative energies in meV per atom: (A) 358; (B) 0

(A)
Ce2TcCl PBE relaxed; size of the total moment = 2.1 Bohr magnetons per cell
1.0
3.8090 0.6853 -0.0219
1.1798 7.1430 1.4382
0.0908 0.4940 8.0598
Cl Tc Ce
2 2 4
Cartesian
1.6352 3.6002 2.4673
1.4113 7.2947 3.3430
4.0347 2.7792 6.0451
3.4373 5.4673 6.8611
1.7988 2.5540 8.0062
1.6735 6.1982 8.4402
1.9003 1.3536 4.5135
1.8254 4.8670 5.0628

(B)
Ce2TcCl PBE relaxed; size of the total moment = 0.5 Bohr magnetons per cell
1.0
-2.9233 -2.3606 1.1340
0.4733 -3.8950 -0.0960
1.8452 -1.9384 7.5135
Ce Cl Tc
2 1 1
Cartesian
1.3086 -1.9680 6.0685
-0.2662 -2.0548 1.8281
-0.2872 -4.0962 4.3165
0.1829 -6.1104 8.1275

Stability comparison, relative energies in meV per atom: (A) 0; (B) 52